Record 1
## Tb3CI3 (GGA-PBE)

Data for crystalline Tb3CI3 at its relaxed geometry.

Properties
Symmetry: No. 11
Total energy in eV per atom: -4.99
Uncorrected formation energy in meV per atom: -1020

Unit cell a=8.745 b=3.923 c=12.052 alpha=90.00 beta=92.14 gamma=90.00
Fractional coordinates of all 14 atoms:
Tb: 0.082 0.250 0.401
Tb: 0.112 0.250 0.810
Tb: 0.293 0.750 0.614
Tb: 0.707 0.250 0.386
Tb: 0.888 0.750 0.190
Tb: 0.918 0.750 0.599
C: 0.117 0.250 0.612
C: 0.883 0.750 0.388
I: 0.142 0.250 0.130
I: 0.374 0.750 0.868
I: 0.383 0.750 0.368
I: 0.617 0.250 0.632
I: 0.626 0.250 0.132
I: 0.858 0.750 0.870

Record 2
## Tb2CI3 (GGA-PBE)

Data for crystalline Tb2CI3 at its relaxed geometry.

Properties
Symmetry: No. 12
Total energy in eV per atom: -4.88
Uncorrected formation energy in meV per atom: -1025

Unit cell a=9.722 b=9.722 c=11.404 alpha=106.70 beta=106.70 gamma=23.98
Fractional coordinates of all 12 atoms:
Tb: 0.061 0.061 0.190
Tb: 0.389 0.389 0.053
Tb: 0.611 0.611 0.947
Tb: 0.939 0.939 0.810
C: 0.477 0.477 0.942
C: 0.523 0.523 0.058
I: 0.081 0.081 0.731
I: 0.214 0.214 0.129
I: 0.367 0.367 0.606
I: 0.633 0.633 0.394
I: 0.786 0.786 0.871
I: 0.919 0.919 0.269

Record 3
## Tb7CI12 (GGA-PBE)

Data for crystalline Tb7CI12 at its relaxed geometry.

Properties
Symmetry: No. 148
Total energy in eV per atom: -4.22
Uncorrected formation energy in meV per atom: -1210

Unit cell a=9.623 b=9.623 c=9.623 alpha=107.91 beta=107.91 gamma=107.91
Fractional coordinates of all 20 atoms:
Tb: 0.000 0.000 0.000
Tb: 0.214 0.403 0.468
Tb: 0.403 0.468 0.214
Tb: 0.468 0.214 0.403
Tb: 0.532 0.786 0.597
Tb: 0.597 0.532 0.786
Tb: 0.786 0.597 0.532
C: 0.500 0.500 0.500
I: 0.033 0.349 0.113
I: 0.113 0.033 0.349
I: 0.190 0.726 0.578
I: 0.274 0.422 0.810
I: 0.349 0.113 0.033
I: 0.422 0.810 0.274
I: 0.578 0.190 0.726
I: 0.651 0.887 0.967
I: 0.726 0.578 0.190
I: 0.810 0.274 0.422
I: 0.887 0.967 0.651
I: 0.967 0.651 0.887